The following is a GGA+U calculation of a relaxed FeP2HO crystal, from Alexandria via LeMat-Bulk.

a = 3.3642 Å, b = 3.3642 Å, c = 5.2840 Å
α = 90.00°, β = 90.00°, γ = 90.00°
Each line ends with the local moment (μB).
Fractional positions:
P  0.0000  0.5000  0.0000  -0.04
P  0.5000  0.0000  0.0000  -0.04
Fe  0.5000  0.5000  0.5000  3.75
O  0.0000  0.0000  0.5000  -0.05
H  0.0000  0.0000  0.0000  0.00

Results
total moment: 3.609 μB per formula unit
space-group type: P4/mmm, No. 123
N(E_F): 1.8 states/eV per cell
energy above the most stable polymorph in this dataset: 0.000 eV/atom